Crystalline Pr6Sm3Er at its relaxed geometry. Source: the Alexandria database, functional PBE.

As for the total energy: -4.531 eV/atom. The spin magnetization is 0.0000 μB/atom.

It has space group C2/m (No. 12), with a = 11.499 Å, b = 6.978 Å, c = 9.211 Å, α = 90.00°, β = 106.55° and γ = 90.00°. The distinct sites, in fractional coordinates, are Pr at (0.125, 0.000, 0.418), Pr at (0.189, 0.263, 0.801), Sm at (0.000, 0.500, 0.500), Sm at (0.075, 0.500, 0.168) and Er at (0.000, 0.000, 0.000).